#1
Material: FeAgMo2
Method: DFT, SCAN
State: single point on PBEsol structure

Cell: 2.615 4.906 4.906 Å, 114.59 90.00 90.00°
Each line ends with the local moment (μB).
Sites, in units of the cell vectors:
Ag  0.500  0.000  0.000  -0.01
Mo  0.000  0.000  0.500  -0.13
Mo  0.000  0.500  0.000  -0.13
Fe  0.500  0.500  0.500  2.79

#2
Material: FeAgMo2
Method: DFT, SCAN
State: single point on PBEsol structure

Cell: 2.855 4.539 5.228 Å, 115.73 105.84 90.00°
Each line ends with the local moment (μB).
Sites, in units of the cell vectors:
Mo  0.264  0.764  0.529  -0.25
Mo  0.024  0.024  0.047  -0.35
Fe  0.733  0.233  0.466  2.18
Ag  0.479  0.479  0.958  -0.01

Stability check: which of them is most stable? #1.

#1
Material: FeAgMo2
Method: DFT, SCAN
State: single point on PBEsol structure

Cell: 2.696 2.696 9.233 Å, 81.61 81.61 60.00°
Each line ends with the local moment (μB).
Sites, in units of the cell vectors:
Ag  0.500  0.500  0.500  -0.01
Mo  0.258  0.258  0.225  0.23
Mo  0.742  0.742  0.775  0.23
Fe  0.000  0.000  0.000  -2.20

#2
Material: FeAgMo2
Method: DFT, SCAN
State: single point on PBEsol structure

Cell: 3.748 3.748 4.071 Å, 90.00 90.00 90.00°
Each line ends with the local moment (μB).
Sites, in units of the cell vectors:
Mo  0.500  0.000  0.000  -0.17
Mo  0.000  0.500  0.000  -0.17
Ag  0.500  0.500  0.500  -0.03
Fe  0.000  0.000  0.500  2.76

Stability check: which of them is most stable? #2.

#1
Material: FeNi2Ag
Method: DFT, SCAN
State: single point on PBEsol structure

Cell: 3.493 3.740 3.740 Å, 90.00 90.00 90.00°
Each line ends with the local moment (μB).
Sites, in units of the cell vectors:
Ni  0.000  0.000  0.500  0.77
Ni  0.000  0.500  0.000  0.77
Fe  0.500  0.000  0.000  3.28
Ag  0.500  0.500  0.500  0.01

#2
Material: FeNi2Ag
Method: DFT, SCAN
State: single point on PBEsol structure

Cell: 4.112 4.112 4.112 Å, 60.00 60.00 60.00°
Each line ends with the local moment (μB).
Sites, in units of the cell vectors:
Ag  0.500  0.500  0.500  0.02
Fe  0.250  0.250  0.250  3.21
Ni  0.000  0.000  0.000  0.78
Ni  0.750  0.750  0.750  0.48

Stability check: which of them is most stable? #1.

#1
Material: FeAgP
Method: DFT, SCAN
State: single point on PBEsol structure

Cell: 3.450 3.690 3.690 Å, 120.00 90.00 90.00°
Each line ends with the local moment (μB).
Sites, in units of the cell vectors:
Ag  0.000  0.000  0.000  -0.03
Fe  0.500  0.333  0.667  0.59
P  0.500  0.667  0.333  -0.04

#2
Material: FeAgP
Method: DFT, SCAN
State: single point on PBEsol structure

Cell: 2.812 2.812 6.066 Å, 90.00 90.00 120.00°
Each line ends with the local moment (μB).
Sites, in units of the cell vectors:
P  0.333  0.667  0.382  -0.06
Ag  0.000  0.000  0.992  0.02
Fe  0.667  0.333  0.626  2.11

Stability check: which of them is most stable? #2.

#1
Material: FeAgPb2
Method: DFT, SCAN
State: single point on PBEsol structure

Cell: 4.512 4.537 5.178 Å, 115.98 115.83 90.00°
Each line ends with the local moment (μB).
Sites, in units of the cell vectors:
Fe  0.000  0.500  0.000  3.01
Pb  0.251  0.251  0.501  -0.02
Pb  0.749  0.749  0.499  -0.02
Ag  0.500  0.000  0.000  -0.01

#2
Material: FeAgPb2
Method: DFT, SCAN
State: single point on PBEsol structure

Cell: 3.299 3.299 9.011 Å, 79.45 79.45 60.00°
Each line ends with the local moment (μB).
Sites, in units of the cell vectors:
Pb  0.757  0.757  0.730  -0.04
Pb  0.243  0.243  0.270  -0.04
Ag  0.000  0.000  0.000  -0.01
Fe  0.500  0.500  0.500  3.00

Stability check: which of them is most stable? #2.

#1
Material: FeAgRh2
Method: DFT, SCAN
State: single point on PBEsol structure

Cell: 3.802 3.802 4.665 Å, 114.05 114.05 90.00°
Each line ends with the local moment (μB).
Sites, in units of the cell vectors:
Ag  0.500  0.500  0.000  0.07
Rh  0.750  0.250  0.500  0.92
Rh  0.000  0.000  0.000  0.94
Fe  0.250  0.750  0.500  3.36

#2
Material: FeAgRh2
Method: DFT, SCAN
State: single point on PBEsol structure

Cell: 3.724 3.859 3.859 Å, 90.00 90.00 90.00°
Each line ends with the local moment (μB).
Sites, in units of the cell vectors:
Ag  0.500  0.500  0.500  0.08
Fe  0.500  0.000  0.000  3.41
Rh  0.000  0.500  0.000  0.93
Rh  0.000  0.000  0.500  0.93

#3
Material: FeAgRh2
Method: DFT, SCAN
State: single point on PBEsol structure

Cell: 2.696 4.683 4.678 Å, 102.11 90.00 106.73°
Each line ends with the local moment (μB).
Sites, in units of the cell vectors:
Ag  0.000  0.000  0.500  0.02
Rh  0.763  0.526  0.765  0.59
Rh  0.237  0.474  0.235  0.59
Fe  0.500  0.000  0.000  3.30

Stability check: which of them is most stable? #3.

#1
Material: FeAg2Ru
Method: DFT, SCAN
State: single point on PBEsol structure

Cell: 3.374 4.007 4.327 Å, 90.00 90.00 90.00°
Each line ends with the local moment (μB).
Sites, in units of the cell vectors:
Ag  0.500  0.500  0.000  0.02
Ag  0.000  0.000  0.000  0.01
Ru  0.000  0.500  0.500  1.15
Fe  0.500  0.000  0.500  3.35

#2
Material: FeAg2Ru
Method: DFT, SCAN
State: single point on PBEsol structure

Cell: 4.361 4.361 4.361 Å, 60.00 60.00 60.00°
Each line ends with the local moment (μB).
Sites, in units of the cell vectors:
Ag  0.250  0.250  0.250  0.01
Ag  0.000  0.000  0.000  0.01
Ru  0.750  0.750  0.750  1.20
Fe  0.500  0.500  0.500  3.25

Stability check: which of them is most stable? #1.